Entry from the Alexandria database: an optimized crystal structure of LaSi7Ru3 (PBE).

Results
symmetry: R-3c, No. 167
uncorrected formation energy: -0.5272 eV/atom
total energy: -6.956 eV per atom
theoretical density: 6.1 g/cm³

Cell and atoms, written as extended XYZ:
```
22
Lattice="3.846 2.221 6.746 -3.846 2.221 6.746 0.000 -4.441 6.746" Properties=species:S:1:pos:R:3 pbc="T T T"
La 0.000 0.000 0.000
La 0.000 0.000 10.119
Si -3.060 -0.948 10.663
Si -0.708 -3.124 9.575
Si -0.708 -1.317 7.290
Si 0.000 0.000 5.059
Si -2.351 2.175 9.575
Si -0.787 1.272 7.290
Si -1.495 -0.045 12.948
Si 1.495 0.045 7.290
Si 0.787 -1.272 12.948
Si 2.351 -2.175 10.663
Si 0.000 0.000 15.178
Si 0.708 1.317 12.948
Si 0.708 3.124 10.663
Si 3.060 0.948 9.575
Ru -2.582 -0.031 8.432
Ru -1.264 -2.252 11.805
Ru 1.318 -2.221 8.432
Ru -1.318 2.221 11.805
Ru 1.264 2.252 8.432
Ru 2.582 0.031 11.805
```